Record 1
Below is a relaxed Be8CoCu3 crystal, with properties calculated at the PBE level.

```
data_Be8CoCu3
_cell_length_a 4.229
_cell_length_b 4.229
_cell_length_c 6.813
_cell_angle_alpha 90.00
_cell_angle_beta 90.00
_cell_angle_gamma 120.00
_symmetry_space_group_name_H-M 'P 1'
_symmetry_Int_Tables_number 1
loop_
_symmetry_equiv_pos_as_xyz
'x,y,z'
loop_
_atom_site_label
_atom_site_fract_x
_atom_site_fract_y
_atom_site_fract_z
Be1 0.163 0.326 0.256
Co1 0.000 0.000 0.558
Be2 0.502 0.003 0.744
Cu1 0.667 0.333 0.056
Cu2 0.667 0.333 0.440
Be3 0.997 0.498 0.744
Be4 0.163 0.837 0.256
Be5 0.333 0.667 0.502
Be6 0.674 0.837 0.256
Cu3 0.000 0.000 0.940
Be7 0.333 0.667 0.003
Be8 0.502 0.498 0.744
```

Energy of formation from the pure elements ... -0.160 eV/atom
Magnetic moment ... 0.000 μB/atom
Space group ... No. 156

---

Record 2
Below is a relaxed Tl2SbPb crystal, with properties calculated at the PBE level.

```
data_Tl2SbPb
_cell_length_a 6.335
_cell_length_b 6.335
_cell_length_c 6.335
_cell_angle_alpha 135.67
_cell_angle_beta 135.32
_cell_angle_gamma 64.76
_symmetry_space_group_name_H-M 'P 1'
_symmetry_Int_Tables_number 1
loop_
_symmetry_equiv_pos_as_xyz
'x,y,z'
loop_
_atom_site_label
_atom_site_fract_x
_atom_site_fract_y
_atom_site_fract_z
Tl1 0.001 0.001 0.000
Tl2 0.499 0.499 0.000
Pb1 0.750 0.250 0.500
Sb1 0.250 0.750 0.500
```

Magnetic moment ... 0.000 μB/atom
Energy relative to the elements, uncorrected ... 10 meV per atom
Energy above the most stable polymorph in this dataset ... 0.013 eV/atom
Space group ... No. 71

---

Record 3
Below is a relaxed Li2Ti4O9 crystal, with properties calculated at the PBE level.

```
data_Li2Ti4O9
_cell_length_a 5.072
_cell_length_b 5.072
_cell_length_c 13.978
_cell_angle_alpha 90.00
_cell_angle_beta 90.00
_cell_angle_gamma 120.00
_symmetry_space_group_name_H-M 'P 1'
_symmetry_Int_Tables_number 1
loop_
_symmetry_equiv_pos_as_xyz
'x,y,z'
loop_
_atom_site_label
_atom_site_fract_x
_atom_site_fract_y
_atom_site_fract_z
O1 0.385 0.361 0.082
Ti1 0.333 0.667 0.312
O2 0.976 0.361 0.582
Ti2 0.667 0.333 0.975
O3 0.342 0.000 0.250
O4 0.658 0.000 0.750
Ti3 0.333 0.667 0.812
Li1 0.000 0.000 0.644
O5 0.361 0.976 0.918
O6 0.976 0.615 0.082
O7 0.615 0.639 0.918
Li2 0.000 0.000 0.856
O8 0.342 0.342 0.750
Ti4 0.333 0.667 0.025
Ti5 0.667 0.333 0.688
Li3 0.000 0.000 0.356
O9 0.615 0.976 0.418
Ti6 0.667 0.333 0.188
O10 0.024 0.385 0.918
O11 0.024 0.639 0.418
Ti7 0.333 0.667 0.525
Ti8 0.667 0.333 0.475
O12 0.658 0.658 0.250
O13 0.361 0.385 0.418
O14 0.000 0.342 0.250
Li4 0.000 0.000 0.144
O15 0.639 0.024 0.082
O16 0.000 0.658 0.750
O17 0.639 0.615 0.582
O18 0.385 0.024 0.582
```

Magnetic moment ... 0.000 μB/atom
Energy relative to the elements, uncorrected ... -2864 meV per atom
Space group ... No. 165

---

Q: What is the magnetic moment in the second record?
A: 0.000 μB/atom

---

Repeat the third record exactly.
Below is a relaxed Li2Ti4O9 crystal, with properties calculated at the PBE level.

```
data_Li2Ti4O9
_cell_length_a 5.072
_cell_length_b 5.072
_cell_length_c 13.978
_cell_angle_alpha 90.00
_cell_angle_beta 90.00
_cell_angle_gamma 120.00
_symmetry_space_group_name_H-M 'P 1'
_symmetry_Int_Tables_number 1
loop_
_symmetry_equiv_pos_as_xyz
'x,y,z'
loop_
_atom_site_label
_atom_site_fract_x
_atom_site_fract_y
_atom_site_fract_z
O1 0.385 0.361 0.082
Ti1 0.333 0.667 0.312
O2 0.976 0.361 0.582
Ti2 0.667 0.333 0.975
O3 0.342 0.000 0.250
O4 0.658 0.000 0.750
Ti3 0.333 0.667 0.812
Li1 0.000 0.000 0.644
O5 0.361 0.976 0.918
O6 0.976 0.615 0.082
O7 0.615 0.639 0.918
Li2 0.000 0.000 0.856
O8 0.342 0.342 0.750
Ti4 0.333 0.667 0.025
Ti5 0.667 0.333 0.688
Li3 0.000 0.000 0.356
O9 0.615 0.976 0.418
Ti6 0.667 0.333 0.188
O10 0.024 0.385 0.918
O11 0.024 0.639 0.418
Ti7 0.333 0.667 0.525
Ti8 0.667 0.333 0.475
O12 0.658 0.658 0.250
O13 0.361 0.385 0.418
O14 0.000 0.342 0.250
Li4 0.000 0.000 0.144
O15 0.639 0.024 0.082
O16 0.000 0.658 0.750
O17 0.639 0.615 0.582
O18 0.385 0.024 0.582
```

Magnetic moment ... 0.000 μB/atom
Energy relative to the elements, uncorrected ... -2864 meV per atom
Space group ... No. 165

---

Q: Which formula does entry 2 have?
A: Tl2SbPb